Computed, not measured: MnSiGe2 after structural relaxation at the GGA-PBE level of DFT.

Calculated values
As for the space group: No. 99. Its crystal system is tetragonal. Its energy is -23.82 eV per formula unit. The calculation puts the energy above the lowest structure with this stoichiometry at 80 meV per atom. As for the energy relative to the elements, uncorrected: 2 meV per atom.

Lattice parameters (Å, degrees): 2.8322 2.8311 7.7664 90.00 90.00 90.00
Site moments in Bohr magnetons follow the coordinates.
Sites, in units of the cell vectors:
Ge1 0.5628 0.5000 0.7796  -0.01
Ge2 0.5642 0.5000 0.1071  0.00
Si1 0.5624 0.5000 0.4252  -0.01
Mn1 0.0627 0.0000 0.5902  0.18


Computed, not measured: MnAg3 after structural relaxation at the GGA-PBE level of DFT.

Calculated values
As for the space group: No. 123. Its crystal system is tetragonal. Its energy is -17.01 eV per formula unit. The value obtained for the formation energy is 69 kJ/mol of formula units.

Lattice parameters (Å, degrees): 2.9543 2.9543 7.9165 90.00 90.00 89.91
Site moments in Bohr magnetons follow the coordinates.
Sites, in units of the cell vectors:
Mn1 0.5000 0.5000 0.2500  3.85
Ag1 0.5000 0.5000 0.7500  -0.01
Ag2 0.0000 0.0000 0.0116  0.02
Ag3 0.0000 0.0000 0.4884  0.02


Computed, not measured: Cs3Cd4In2 after structural relaxation at the GGA-PBE level of DFT.

Calculated values
As for the space group: No. 12. Its crystal system is monoclinic. Its energy is -12.39 eV per formula unit. The calculation puts the energy above the lowest structure with this stoichiometry at 0 meV per atom. The value obtained for the formation energy is -67 kJ/mol of formula units.

Lattice parameters (Å, degrees): 5.0956 7.5723 10.7734 110.09 90.00 109.66
Sites, in units of the cell vectors:
Cd1 0.0890 0.1780 0.6389
Cd2 0.9110 0.8220 0.3611
Cd3 0.7365 0.4730 0.0669
Cd4 0.2635 0.5270 0.9331
In1 0.6944 0.3888 0.7660
In2 0.3056 0.6112 0.2340
Cs1 0.0000 0.0000 0.0000
Cs2 0.6208 0.2415 0.3687
Cs3 0.3792 0.7585 0.6313


Computed, not measured: LaPb4Br after structural relaxation at the GGA-PBE level of DFT.

Calculated values
As for the space group: No. 216. Its crystal system is cubic. Its energy is -23.04 eV per formula unit. As for the energy relative to the elements, uncorrected: -267 meV per atom.

Lattice parameters (Å, degrees): 6.4739 6.4739 6.4739 60.00 60.00 60.00
Sites, in units of the cell vectors:
Pb1 0.3746 0.3746 0.8762
Pb2 0.3746 0.3746 0.3746
Pb3 0.3746 0.8762 0.3746
Pb4 0.8762 0.3746 0.3746
Br1 0.7500 0.7500 0.7500
La1 0.0000 0.0000 0.0000


Computed, not measured: CsTb2Be2O6 after structural relaxation at the GGA-PBE level of DFT.

Calculated values
As for the space group: No. 12. Its crystal system is monoclinic. Its energy is -75.89 eV per formula unit. As for the energy relative to the elements, uncorrected: -2597 meV per atom.

Lattice parameters (Å, degrees): 6.1193 6.3075 6.1963 116.33 90.01 60.98
Site moments in Bohr magnetons follow the coordinates.
Sites, in units of the cell vectors:
O1 0.9875 0.6111 0.8502  0.17
O2 0.5986 0.3887 0.1497  0.17
O3 0.9345 0.1309 0.3712  0.11
O4 0.4014 0.6113 0.8503  0.17
O5 0.0655 0.8691 0.6288  0.11
O6 0.0125 0.3889 0.1498  0.17
Tb1 0.8241 0.3518 0.8029  -0.01
Tb2 0.1759 0.6482 0.1971  -0.01
Be1 0.1462 0.7076 0.7677  -0.01
Be2 0.8538 0.2924 0.2323  -0.01
Cs1 0.5000 0.0000 0.5000  0.00


Computed, not measured: CaCeHg14 after structural relaxation at the GGA-PBE level of DFT.

Calculated values
As for the space group: No. 123. Its crystal system is tetragonal. Its energy is -14.85 eV per formula unit. The value obtained for the formation energy is -259 kJ/mol of formula units.

Lattice parameters (Å, degrees): 6.8057 6.8057 8.9748 90.00 90.00 89.99
Site moments in Bohr magnetons follow the coordinates.
Sites, in units of the cell vectors:
Hg1 0.1266 0.6234 0.7544  0.00
Hg2 0.6234 0.1266 0.7544  0.00
Hg3 0.3750 0.3750 0.0000  0.00
Hg4 0.8750 0.3750 0.5000  0.01
Hg5 0.6234 0.1266 0.2456  0.00
Hg6 0.8750 0.8750 0.0000  0.00
Hg7 0.6234 0.6234 0.2456  0.00
Hg8 0.1266 0.6234 0.2456  0.00
Hg9 0.1266 0.1266 0.2457  0.00
Hg10 0.8750 0.3750 0.0000  0.00
Hg11 0.3750 0.8750 0.0000  0.00
Hg12 0.6234 0.6234 0.7544  0.00
Hg13 0.3750 0.8750 0.5000  0.01
Hg14 0.1266 0.1266 0.7543  0.00
Ce1 0.8750 0.8750 0.5000  1.01
Ca1 0.3750 0.3750 0.5000  0.00


Computed, not measured: ZrTc2B after structural relaxation at the GGA-PBE level of DFT.

Calculated values
As for the space group: No. 122. Its crystal system is tetragonal. Its energy is -36.35 eV per formula unit. The value obtained for the formation energy is -38 kJ/mol of formula units.

Lattice parameters (Å, degrees): 7.0543 7.0543 5.5400 50.46 50.46 90.00
Sites, in units of the cell vectors:
B1 0.2500 0.7500 0.5000
B2 0.5000 0.5000 0.0000
Tc1 0.8750 0.7761 0.7500
Tc2 0.3750 0.4739 0.7500
Tc3 0.2239 0.6250 0.2500
Tc4 0.5261 0.1250 0.2500
Zr1 0.7500 0.2500 0.5000
Zr2 0.0000 0.0000 0.0000


Computed, not measured: Be2WCl after structural relaxation at the GGA-PBE level of DFT.

Calculated values
As for the space group: No. 47. Its crystal system is orthorhombic. Its energy is -18.62 eV per formula unit. The calculation puts the energy above the lowest structure with this stoichiometry at 704 meV per atom. As for the energy relative to the elements, uncorrected: 907 meV per atom.

Lattice parameters (Å, degrees): 2.7584 4.2816 4.4102 90.00 90.00 90.00
Sites, in units of the cell vectors:
W1 0.0000 0.5000 0.5000
Be1 0.0000 0.0000 0.0000
Be2 0.5000 0.5000 0.0000
Cl1 0.5000 0.0000 0.5000


Computed, not measured: In2NiCl after structural relaxation at the GGA-PBE level of DFT.

Calculated values
As for the space group: No. 119. Its crystal system is tetragonal. Its energy is -12.66 eV per formula unit. The calculation puts the energy above the lowest structure with this stoichiometry at 369 meV per atom. As for the energy relative to the elements, uncorrected: 112 meV per atom.

Lattice parameters (Å, degrees): 6.6877 6.6877 6.6877 145.85 145.85 49.06
Sites, in units of the cell vectors:
Ni1 0.5000 0.5000 0.0000
Cl1 0.7500 0.2500 0.5000
In1 0.2500 0.7500 0.5000
In2 0.0000 0.0000 0.0000


Computed, not measured: MnGePHCN after structural relaxation at the GGA-PBE level of DFT.

Calculated values
As for the space group: No. 8. Its crystal system is monoclinic. Its energy is -39.36 eV per formula unit. The calculation puts the energy above the lowest structure with this stoichiometry at 40 meV per atom.

Lattice parameters (Å, degrees): 5.5421 2.8470 8.8974 90.00 92.94 90.00
Sites, in units of the cell vectors:
C1 0.7677 0.0000 0.0437
C2 0.7677 0.5000 0.5437
Mn1 0.3334 0.5000 0.8199
Mn2 0.3334 0.0000 0.3199
Ge1 0.0426 0.5000 0.4121
Ge2 0.0426 0.0000 0.9121
H1 0.8563 0.5000 0.6585
H2 0.8563 0.0000 0.1585
P1 0.5629 0.0000 0.5318
P2 0.5629 0.5000 0.0318
N1 0.4525 0.5000 0.2033
N2 0.4525 0.0000 0.7033


Computed, not measured: TaCd2Te after structural relaxation at the GGA-PBE level of DFT.

Calculated values
As for the space group: No. 216. Its crystal system is cubic. Its energy is -14.62 eV per formula unit. As for the energy relative to the elements, uncorrected: 551 meV per atom.

Lattice parameters (Å, degrees): 4.9854 4.9854 4.9854 60.00 60.00 60.00
Sites, in units of the cell vectors:
Ta1 0.5000 0.5000 0.5000
Cd1 0.2500 0.2500 0.2500
Cd2 0.0000 0.0000 0.0000
Te1 0.7500 0.7500 0.7500


Computed, not measured: WCl after structural relaxation at the GGA-PBE level of DFT.

Calculated values
As for the space group: No. 136. Its crystal system is tetragonal. Its energy is -12.79 eV per formula unit. The calculation puts the energy above the lowest structure with this stoichiometry at 1246 meV per atom. As for the energy relative to the elements, uncorrected: 1003 meV per atom.

Lattice parameters (Å, degrees): 8.0521 8.0521 2.8518 90.00 90.00 90.00
Sites, in units of the cell vectors:
W1 0.3958 0.3958 0.0000
W2 0.1042 0.8958 0.5000
W3 0.6042 0.6042 0.0000
W4 0.8958 0.1042 0.5000
Cl1 0.7963 0.7963 0.5000
Cl2 0.7037 0.2963 0.0000
Cl3 0.2963 0.7037 0.0000
Cl4 0.2037 0.2037 0.5000